{
  "formula": "HfMnSbO6",
  "functional": "GGA+U",
  "state": "optimized geometry",
  "sg": "P-31c (163)",
  "e_tot_ev_per_atom": -7.686,
  "total_magnetization_mub_per_fu": 4.0,
  "cell": [[-2.517, -3.185, 3.423], [4.653, -1.488, -2.082], [4.270, 3.894, 6.763]],
  "species": ["O", "O", "O", "O", "O", "O", "O", "O", "O", "O", "O", "O", "Sb", "Sb", "Hf", "Hf", "Mn", "Mn"],
  "frac_coords": [[0.346, 0.010, 0.129], [0.990, 0.654, 0.371], [0.346, 0.335, 0.371], [0.665, 0.654, 0.129], [0.335, 0.346, 0.871], [0.990, 0.335, 0.129], [0.654, 0.665, 0.629], [0.665, 0.010, 0.371], [0.335, 0.990, 0.629], [0.010, 0.665, 0.871], [0.010, 0.346, 0.629], [0.654, 0.990, 0.871], [0.667, 0.333, 0.250], [0.333, 0.667, 0.750], [0.333, 0.667, 0.250], [0.667, 0.333, 0.750], [0.000, 0.000, 0.500], [0.000, 0.000, 0.000]]
}